This record from the Alexandria database describes a relaxed BaLaHfFe2 crystal. The functional is PBE.

a b c (Å): 4.857 5.567 4.857
angles (deg): 90.00 90.00 90.00
Fractional positions:
Fe (0.000, 0.000, 0.500)
Fe (0.500, 0.000, 0.000)
Hf (0.000, 0.000, 0.000)
Ba (0.500, 0.500, 0.500)
La (0.000, 0.500, 0.000)

Properties
As for the space group: P4/mmm (123). The value obtained for the formation energy is 923 meV/atom. Its mass density is 7.162 g cm⁻³.